(1)
An optimized crystal structure of Sc4ZnTc2, computed with GGA-PBE.

Cell: 4.8325 4.8325 13.4077 Å, 90.00 90.00 120.02°
Closest atoms and distances in Å follow each position.
Atoms (fractional coordinates):
Sc (0.1670, 0.8330, 0.8683)  1 Tc 2.42
Sc (0.1670, 0.8330, 0.6317)  1 Tc 2.42
Sc (0.8330, 0.1670, 0.1317)  1 Tc 2.42
Sc (0.8330, 0.1670, 0.3683)  1 Tc 2.42
Sc (0.1661, 0.8339, 0.2500)  2 Tc 2.70, 3 Zn 2.79
Sc (0.8339, 0.1661, 0.7500)  2 Tc 2.70, 3 Zn 2.79
Sc (0.5000, 0.5000, 0.0000)  6 Tc 2.86-2.87
Sc (0.5000, 0.5000, 0.5000)  6 Tc 2.86-2.87
Zn (0.4993, 0.5007, 0.2500)  3 Sc 2.79
Zn (0.5007, 0.4993, 0.7500)  3 Sc 2.79
Tc (0.8335, 0.1665, 0.5487)  2 Sc 2.42-2.70
Tc (0.1665, 0.8335, 0.0487)  2 Sc 2.42-2.70
Tc (0.8335, 0.1665, 0.9513)  2 Sc 2.42-2.70
Tc (0.1665, 0.8335, 0.4513)  2 Sc 2.42-2.70

## Properties
DOS(E_F), states/eV/cell: 12.55
Symmetry: No. 63
V, Å³/f.u.: 135.6
M_tot, μB/cell: 0.00
DFT total energy, eV per cell: -96.1
Energy of formation, eV/atom: -0.104



(2)
An optimized crystal structure of Sr8Sn2N, computed with GGA-PBE.

Cell: 6.0799 7.1818 10.2032 Å, 109.24 107.33 90.00°
Closest atoms and distances in Å follow each position.
Atoms (fractional coordinates):
Sr (0.4143, 0.6453, 0.8286)  1 N 2.52
Sr (0.6251, 0.9237, 0.2503)  1 N 2.68
Sr (0.7830, 0.7298, 0.5660)  4 Sn 3.48-3.80, 2 Sr 3.79-3.86
Sr (0.9822, 0.2294, 0.9644)  1 Sn 3.39, 2 N 3.53, 6 Sr 3.59-3.71
Sr (0.2170, 0.2702, 0.4340)  4 Sn 3.48-3.80, 2 Sr 3.79-3.86
Sr (0.3749, 0.0763, 0.7497)  1 N 2.68
Sr (0.5857, 0.3547, 0.1714)  1 N 2.52
Sr (0.0178, 0.7706, 0.0356)  1 Sn 3.39, 2 N 3.53, 6 Sr 3.59-3.71
Sn (0.8161, 0.2832, 0.6322)  7 Sr 3.39-3.73
Sn (0.1839, 0.7168, 0.3678)  7 Sr 3.39-3.73
N (0.5000, 0.0000, 0.0000)  4 Sr 2.52-2.68

## Properties
DOS(E_F), states/eV/cell: 9.02
Symmetry: No. 12
Formation energy (no corrections), eV per atom: -0.240
V, Å³/f.u.: 399.1
M_tot, μB/cell: 0.01
DFT total energy, eV per cell: -32.4



(3)
An optimized crystal structure of InPb2Se2, computed with GGA-PBE.

Cell: 8.3993 8.3993 4.0471 Å, 90.00 90.00 90.00°
Closest atoms and distances in Å follow each position.
Atoms (fractional coordinates):
Pb (0.1537, 0.6537, 0.5000)  6 Se 3.07-3.27
Pb (0.6537, 0.8463, 0.5000)  6 Se 3.07-3.27
Pb (0.8463, 0.3463, 0.5000)  6 Se 3.07-3.27
Pb (0.3463, 0.1537, 0.5000)  6 Se 3.07-3.27
Se (0.3477, 0.8477, 0.0000)  6 Pb 3.07-3.27, 2 In 3.19
Se (0.8477, 0.6523, 0.0000)  6 Pb 3.07-3.27, 2 In 3.19
Se (0.6523, 0.1523, 0.0000)  6 Pb 3.07-3.27, 2 In 3.19
Se (0.1523, 0.3477, 0.0000)  6 Pb 3.07-3.27, 2 In 3.19
In (0.0000, 0.0000, 0.0000)  4 Se 3.19
In (0.5000, 0.5000, 0.0000)  4 Se 3.19

## Properties
DOS(E_F), states/eV/cell: 2.99
Symmetry: No. 127
Formation energy (no corrections), eV per atom: -0.285
V, Å³/f.u.: 142.8
Distance to the lowest polymorph of the same formula, meV/atom: 0
M_tot, μB/cell: 0.00
DFT total energy, eV per cell: -37.1



(4)
An optimized crystal structure of K2Rb5Sn4, computed with GGA-PBE.

Cell: 7.8473 9.5865 10.3721 Å, 64.76 67.77 65.84°
Closest atoms and distances in Å follow each position.
Atoms (fractional coordinates):
K (0.2649, 0.8890, 0.5812)  2 Sn 3.78
K (0.7351, 0.1110, 0.4188)  2 Sn 3.78
Rb (0.1361, 0.3280, 0.9005)  4 Sn 3.60-3.89, 2 Rb 3.92-3.93
Rb (0.8639, 0.6720, 0.0995)  4 Sn 3.60-3.89, 2 Rb 3.92-3.93
Rb (0.0000, 0.5000, 0.5000)  2 Sn 3.61
Rb (0.6354, 0.3280, 0.9005)  4 Sn 3.60-3.89, 2 Rb 3.92-3.93
Rb (0.3646, 0.6720, 0.0995)  4 Sn 3.60-3.89, 2 Rb 3.92-3.93
Sn (0.4229, 0.9855, 0.1687)  1 Sn 2.82
Sn (0.5771, 0.0145, 0.8313)  1 Sn 2.82
Sn (0.7588, 0.7324, 0.7499)  1 Sn 2.82
Sn (0.2412, 0.2676, 0.2501)  1 Sn 2.82

## Properties
DOS(E_F), states/eV/cell: 6.94
Symmetry: No. 12
V, Å³/f.u.: 624.0
M_tot, μB/cell: 0.00
DFT total energy, eV per cell: -23.6
Energy of formation, eV/atom: -0.052



(5)
An optimized crystal structure of ZrNiBr2, computed with GGA-PBE.

Cell: 5.2474 5.2474 5.2474 Å, 131.95 131.95 70.30°
Closest atoms and distances in Å follow each position.
Atoms (fractional coordinates):
Br (0.0000, 0.0000, 0.0000)  4 Ni 3.02, 4 Zr 3.03, 4 Br 3.03
Br (0.2500, 0.7500, 0.5000)  4 Zr 3.02, 4 Br 3.03, 4 Ni 3.03
Ni (0.5000, 0.5000, 0.0000)  8 Br 3.02-3.03, 4 Zr 3.03
Zr (0.7500, 0.2500, 0.5000)  8 Br 3.02-3.03, 4 Ni 3.03

## Properties
DOS(E_F), states/eV/cell: 1.73
Symmetry: No. 119
Formation energy (no corrections), eV per atom: 0.130
V, Å³/f.u.: 78.3
Distance to the lowest polymorph of the same formula, meV/atom: 833
M_tot, μB/cell: 0.00
DFT total energy, eV per cell: -17.2



(6)
An optimized crystal structure of Cs2NaMgPb2, computed with GGA-PBE.

Cell: 7.7750 7.4235 10.5741 Å, 110.55 111.57 90.00°
Closest atoms and distances in Å follow each position.
Atoms (fractional coordinates):
Cs (0.4018, 0.1728, 0.3457)  5 Pb 4.02-4.29, 2 Na 4.06, 2 Mg 4.22
Cs (0.5982, 0.8272, 0.6543)  5 Pb 4.02-4.29, 2 Na 4.06, 2 Mg 4.22
Cs (0.0561, 0.3272, 0.6543)  5 Pb 4.02-4.29, 2 Na 4.06, 2 Mg 4.22
Cs (0.9439, 0.6728, 0.3457)  5 Pb 4.02-4.29, 2 Na 4.06, 2 Mg 4.22
Na (0.0000, 0.7500, 0.0000)  4 Pb 3.34, 2 Na 3.71
Na (0.0000, 0.2500, 0.0000)  4 Pb 3.34, 2 Na 3.71
Mg (0.5000, 0.7500, 0.0000)  4 Pb 3.00
Mg (0.5000, 0.2500, 0.0000)  4 Pb 3.00
Pb (0.8056, 0.0916, 0.1832)  2 Mg 3.00, 2 Na 3.34
Pb (0.3776, 0.5916, 0.1832)  2 Mg 3.00, 2 Na 3.34
Pb (0.6224, 0.4084, 0.8168)  2 Mg 3.00, 2 Na 3.34
Pb (0.1944, 0.9084, 0.8168)  2 Mg 3.00, 2 Na 3.34

## Properties
DOS(E_F), states/eV/cell: 12.23
Symmetry: No. 72
V, Å³/f.u.: 262.8
M_tot, μB/cell: 0.00
DFT total energy, eV per cell: -25.0
Energy of formation, eV/atom: -0.079



(7)
An optimized crystal structure of BeVPb3, computed with GGA-PBE.

Cell: 5.0790 5.0790 5.0790 Å, 90.00 90.00 90.00°
Closest atoms and distances in Å follow each position.
Atoms (fractional coordinates):
Pb (0.0000, 0.5000, 0.0000)  2 Be 2.54
Pb (0.0000, 0.0000, 0.5000)  2 Be 2.54
Pb (0.5000, 0.0000, 0.0000)  2 Be 2.54
Be (0.0000, 0.0000, 0.0000)  6 Pb 2.54
V (0.5000, 0.5000, 0.5000)  12 Pb 3.59

## Properties
DOS(E_F), states/eV/cell: 8.46
Symmetry: No. 221
V, Å³/f.u.: 131.0
Distance to the lowest polymorph of the same formula, meV/atom: 0
M_tot, μB/cell: 4.00
DFT total energy, eV per cell: -19.9
Energy of formation, eV/atom: 0.815



(8)
An optimized crystal structure of Mg3InAs, computed with GGA-PBE.

Cell: 5.2391 5.2391 5.2391 Å, 90.00 90.00 90.00°
Closest atoms and distances in Å follow each position.
Atoms (fractional coordinates):
As (0.5000, 0.5000, 0.5000)  12 Mg 3.70
Mg (0.0000, 0.5000, 0.0000)  2 In 2.62
Mg (0.0000, 0.0000, 0.5000)  2 In 2.62
Mg (0.5000, 0.0000, 0.0000)  2 In 2.62
In (0.0000, 0.0000, 0.0000)  6 Mg 2.62

## Properties
DOS(E_F), states/eV/cell: 4.95
Symmetry: No. 221
V, Å³/f.u.: 143.8
Distance to the lowest polymorph of the same formula, meV/atom: 484
M_tot, μB/cell: 0.00
DFT total energy, eV per cell: -9.9
Energy of formation, eV/atom: 0.454